Record 1
# Th3ZnCu3

A geometry-optimized Th3ZnCu3 structure (PBE-GGA, Alexandria via LeMat-Bulk).

The structure in POSCAR format:
```
Th3ZnCu3
1.0
5.584 -2.159 0.000
5.584 2.159 0.000
-4.894 0.000 12.648
Th Zn Cu
6 2 6
Direct
0.022 0.022 0.377
0.113 0.113 0.920
0.236 0.236 0.221
0.764 0.764 0.779
0.887 0.887 0.080
0.978 0.978 0.623
0.256 0.256 0.594
0.744 0.744 0.406
0.374 0.374 0.456
0.398 0.398 0.926
0.461 0.461 0.765
0.539 0.539 0.235
0.602 0.602 0.074
0.626 0.626 0.544
```

## Properties
Symmetry: No. 12
Total energy in hartree per atom: -0.1936
V in Å³ per cell: 305.0

---

Record 2
# Cd2WSe

A geometry-optimized Cd2WSe structure (PBE-GGA, Alexandria via LeMat-Bulk).

The structure in POSCAR format:
```
Cd2WSe
1.0
4.456 0.000 0.000
0.000 3.211 0.000
0.000 0.000 11.080
Cd W Se
4 2 2
Direct
0.000 0.000 0.000
0.000 0.500 0.500
0.500 0.000 0.357
0.500 0.500 0.857
0.000 0.000 0.738
0.000 0.500 0.238
0.500 0.000 0.632
0.500 0.500 0.132
```

## Properties
E_form (uncorrected) in eV per atom: 0.418
Symmetry: No. 38
Total energy in hartree per atom: -0.1525
V in Å³ per cell: 158.6

---

Record 3
# Cs2CeI7

A geometry-optimized Cs2CeI7 structure (PBE-GGA, Alexandria via LeMat-Bulk).

The structure in POSCAR format:
```
Cs2CeI7
1.0
10.102 -4.382 0.000
10.102 4.382 0.000
-9.652 0.000 11.675
Cs Ce I
4 2 14
Direct
0.058 0.671 0.943
0.329 0.942 0.557
0.671 0.058 0.443
0.942 0.329 0.057
0.253 0.747 0.750
0.747 0.253 0.250
0.101 0.132 0.790
0.132 0.101 0.290
0.179 0.657 0.498
0.239 0.426 0.687
0.343 0.821 0.002
0.385 0.615 0.250
0.426 0.239 0.187
0.574 0.761 0.813
0.615 0.385 0.750
0.657 0.179 0.998
0.761 0.574 0.313
0.821 0.343 0.502
0.868 0.899 0.710
0.899 0.868 0.210
```

## Properties
E_form (uncorrected) in eV per atom: -1.159
Symmetry: No. 15
Distance to the lowest polymorph of the same formula in meV/atom: 0
Total energy in hartree per atom: -0.1106
V in Å³ per cell: 1033.8

---

Record 4
# Be2CdAu5

A geometry-optimized Be2CdAu5 structure (PBE-GGA, Alexandria via LeMat-Bulk).

The structure in POSCAR format:
```
Be2CdAu5
1.0
3.657 0.000 0.000
0.000 5.944 0.000
0.000 0.000 12.360
Be Cd Au
4 2 10
Direct
0.000 0.000 0.201
0.000 0.000 0.799
0.500 0.500 0.299
0.500 0.500 0.701
0.000 0.500 0.000
0.500 0.000 0.500
0.000 0.000 0.000
0.000 0.249 0.350
0.000 0.249 0.650
0.000 0.751 0.350
0.000 0.751 0.650
0.500 0.251 0.150
0.500 0.251 0.850
0.500 0.500 0.500
0.500 0.749 0.150
0.500 0.749 0.850
```

## Properties
Symmetry: No. 71
Total energy in hartree per atom: -0.1181
V in Å³ per cell: 268.7

---

Record 5
# Rb4Cd2Hg

A geometry-optimized Rb4Cd2Hg structure (PBE-GGA, Alexandria via LeMat-Bulk).

The structure in POSCAR format:
```
Rb4Cd2Hg
1.0
7.034 0.000 0.000
0.000 7.034 0.000
0.000 0.000 17.723
Rb Cd Hg
8 4 2
Direct
0.000 0.000 0.207
0.000 0.000 0.793
0.000 0.500 0.000
0.000 0.500 0.500
0.500 0.000 0.000
0.500 0.000 0.500
0.500 0.500 0.293
0.500 0.500 0.707
0.000 0.000 0.415
0.000 0.000 0.585
0.500 0.500 0.085
0.500 0.500 0.915
0.000 0.000 0.000
0.500 0.500 0.500
```

## Properties
Symmetry: No. 139
Distance to the lowest polymorph of the same formula in meV/atom: 76
Total energy in hartree per atom: -0.0310
V in Å³ per cell: 876.8

---

Record 6
# CePa2P4

A geometry-optimized CePa2P4 structure (PBE-GGA, Alexandria via LeMat-Bulk).

The structure in POSCAR format:
```
CePa2P4
1.0
1.996 -6.673 0.000
1.996 6.673 0.000
0.000 0.000 12.589
Ce Pa P
2 4 8
Direct
0.115 0.885 0.750
0.885 0.115 0.250
0.369 0.631 0.564
0.369 0.631 0.936
0.631 0.369 0.064
0.631 0.369 0.436
0.000 0.000 0.000
0.000 0.000 0.500
0.265 0.735 0.126
0.265 0.735 0.374
0.466 0.534 0.750
0.534 0.466 0.250
0.735 0.265 0.626
0.735 0.265 0.874
```

## Properties
Symmetry: No. 63
Total energy in hartree per atom: -0.2838
V in Å³ per cell: 335.3

---

> Which of these has the highest V?

Cs2CeI7